Record 1
{
  "formula": "Be4CuRh3",
  "functional": "PBE",
  "state": "relaxed",
  "space_group": "P4/mmm",
  "crystal_system": "tetragonal",
  "ef_ev_per_atom": -0.525,
  "cell": [[2.803, 0.000, 0.000], [0.000, 2.803, 0.000], [0.000, 0.000, 10.878]],
  "species": ["Be", "Be", "Be", "Be", "Cu", "Rh", "Rh", "Rh"],
  "frac_coords": [[0.000, 0.000, 0.126], [0.000, 0.000, 0.368], [0.000, 0.000, 0.632], [0.000, 0.000, 0.874], [0.500, 0.500, 0.500], [0.500, 0.500, 0.000], [0.500, 0.500, 0.257], [0.500, 0.500, 0.743]]
}

Record 2
{
  "formula": "InP",
  "functional": "PBE",
  "state": "relaxed",
  "space_group": "Fm-3m",
  "crystal_system": "cubic",
  "ef_ev_per_atom": 0.033,
  "cell": [[0.000, 2.767, 2.767], [2.767, 0.000, 2.767], [2.767, 2.767, 0.000]],
  "species": ["In", "P"],
  "frac_coords": [[0.000, 0.000, 0.000], [0.500, 0.500, 0.500]]
}